(1)
VASP calculation (GGA-PBE) on a geometry-optimized Be2TlPt structure.

The structure in POSCAR format:
```
Be2TlPt
1.0
3.016 0.000 0.000
0.000 3.016 0.000
0.000 0.000 6.800
Be Tl Pt
2 1 1
direct
0.000 0.000 0.167
0.000 0.000 0.833
0.500 0.500 0.500
0.500 0.500 0.000
```

Values from the calculation:
ΔE_f ... -0.04 eV/atom
Total DFT energy (no corrections) ... -16.005 eV/cell
Energy relative to the lowest polymorph listed for this composition ... 0.095 eV per atom
M_tot ... 0.0 Bohr magnetons per cell


(2)
VASP calculation (GGA-PBE) on a geometry-optimized Be2TlPt structure.

The structure in POSCAR format:
```
Be2TlPt
1.0
3.243 0.000 0.000
0.000 2.817 0.000
-1.409 0.000 6.852
Be Tl Pt
2 1 1
direct
0.072 0.000 0.164
0.928 0.000 0.836
0.000 0.500 0.500
0.500 0.500 0.000
```

Values from the calculation:
ΔE_f ... -0.07 eV/atom
Total DFT energy (no corrections) ... -16.133 eV/cell
Energy relative to the lowest polymorph listed for this composition ... 0.063 eV per atom
M_tot ... 0.0 Bohr magnetons per cell


(3)
VASP calculation (GGA-PBE) on a geometry-optimized Be2TlPt2 structure.

The structure in POSCAR format:
```
Be2TlPt2
1.0
7.209 0.000 0.000
0.000 7.209 0.000
0.000 0.000 2.823
Be Tl Pt
4 2 4
direct
0.136 0.364 0.000
0.364 0.864 0.000
0.636 0.136 0.000
0.864 0.636 0.000
0.000 0.000 0.500
0.500 0.500 0.500
0.144 0.644 0.500
0.356 0.144 0.500
0.644 0.856 0.500
0.856 0.356 0.500
```

Values from the calculation:
ΔE_f ... -0.28 eV/atom
Total DFT energy (no corrections) ... -46.600 eV/cell
Energy relative to the lowest polymorph listed for this composition ... 0.066 eV per atom
M_tot ... 0.0 Bohr magnetons per cell